Record 1
Entry from Alexandria: crystalline K2ReN2 at its relaxed geometry (PBE-GGA).

The total moment comes out at 0.0 μB per formula unit. The distance to the lowest polymorph of the same formula is 566.7 meV/atom. As for the uncorrected formation energy: 9.8 kcal/mol of atoms. For the density of states at the Fermi level, the calculation gives 0.45 states/eV per atom.

abc: 5.6895 5.6895 5.1808
angles: 90.00 90.00 90.00
Closest atoms and distances in Å follow each position.
Space group P4/mbm (No. 127)
Asymmetric unit:
K 0.1703 0.3297 0.0000  2 N 2.70, 5 K 2.74-2.99
Re 0.0000 0.0000 0.5000  4 N 2.02
N 0.2337 0.7337 0.5000  2 Re 2.02

***

Record 2
Entry from Alexandria: crystalline KReN2 at its relaxed geometry (PBE-GGA).

The total moment comes out at 1.4 μB per formula unit. The distance to the lowest polymorph of the same formula is 1232.7 meV/atom. As for the uncorrected formation energy: 23.9 kcal/mol of atoms. For the density of states at the Fermi level, the calculation gives 0.56 states/eV per atom.

abc: 3.1002 3.1002 23.3442
angles: 90.00 90.00 120.00
Closest atoms and distances in Å follow each position.
Space group R-3m (No. 166, hexagonal axes)
Asymmetric unit:
K 0.0000 0.0000 0.0000  6 N 2.72
Re 0.0000 0.0000 0.5000  2 N 1.84
N 0.0000 0.0000 0.4211  1 Re 1.84

***

Record 3
Entry from Alexandria: crystalline KReN2 at its relaxed geometry (PBE-GGA).

The total moment comes out at 0.0 μB per formula unit. The distance to the lowest polymorph of the same formula is 601.9 meV/atom. As for the uncorrected formation energy: 9.3 kcal/mol of atoms. For the density of states at the Fermi level, the calculation gives 0.50 states/eV per atom.

abc: 3.0686 3.0686 21.4035
angles: 90.00 90.00 120.00
Closest atoms and distances in Å follow each position.
Space group R-3m (No. 166, hexagonal axes)
Asymmetric unit:
K 0.0000 0.0000 0.0000  2 N 2.47
Re 0.0000 0.0000 0.5000  6 N 2.09
N 0.0000 0.0000 0.1152  3 Re 2.09

***

Record 4
Entry from Alexandria: crystalline KReN2 at its relaxed geometry (PBE-GGA).

The total moment comes out at 1.7 μB per formula unit. The distance to the lowest polymorph of the same formula is 1955.7 meV/atom. As for the uncorrected formation energy: 40.6 kcal/mol of atoms. For the density of states at the Fermi level, the calculation gives 0.48 states/eV per atom.

abc: 5.7006 5.7006 5.7006
angles: 90.00 90.00 90.00
Closest atoms and distances in Å follow each position.
Space group Fm-3m (No. 225)
Asymmetric unit:
K 0.0000 0.0000 0.0000  8 N 2.47
Re 0.0000 0.0000 0.5000  8 N 2.47
N 0.2500 0.2500 0.2500  4 K 2.47, 4 Re 2.47

***

Record 5
Entry from Alexandria: crystalline K2ReN2 at its relaxed geometry (PBE-GGA).

The total moment comes out at 3.1 μB per formula unit. The distance to the lowest polymorph of the same formula is 1384.7 meV/atom. As for the uncorrected formation energy: 28.6 kcal/mol of atoms. For the density of states at the Fermi level, the calculation gives 0.88 states/eV per atom.

abc: 5.4944 5.4944 9.7293
angles: 90.00 90.00 90.00
Closest atoms and distances in Å follow each position.
Space group I4/mmm (No. 139)
Asymmetric unit:
K 0.0000 0.5000 0.2500  4 N 3.32, 4 Re 3.67
Re 0.0000 0.0000 0.0000  8 K 3.67, 8 N 3.93
N 0.0000 0.0000 0.4410  1 N 1.15

***

Record 6
Entry from Alexandria: crystalline K3Re5N12 at its relaxed geometry (PBE-GGA).

The total moment comes out at 0.0 μB per formula unit. As for the uncorrected formation energy: 1.2 kcal/mol of atoms. For the density of states at the Fermi level, the calculation gives 0.38 states/eV per atom.

abc: 13.2278 13.2278 13.2278
angles: 90.00 90.00 90.00
Closest atoms and distances in Å follow each position.
Space group Ia-3d (No. 230)
Asymmetric unit:
K 0.0000 0.2500 0.1250  8 N 2.65-2.96
Re 0.0000 0.0000 0.0000  6 N 2.01
Re 0.0000 0.2500 0.3750  4 N 1.84
N 0.0310 0.1431 0.9584  2 Re 1.84-2.01

***

Record 7
Entry from Alexandria: crystalline K15Re7N19 at its relaxed geometry (PBE-GGA).

The total moment comes out at 0.0 μB per formula unit. As for the uncorrected formation energy: -6.6 kcal/mol of atoms. For the density of states at the Fermi level, the calculation gives 0.18 states/eV per atom.

abc: 6.8405 12.5211 19.3656
angles: 90.74 94.40 99.46
Closest atoms and distances in Å follow each position.
Space group P-1 (No. 2)
Asymmetric unit:
K 0.0000 0.0000 0.0000  6 N 2.91-3.09
K 0.0163 0.1581 0.4831  3 N 2.65-2.87
K 0.0644 0.4600 0.1179  2 N 2.69-2.94
K 0.0795 0.8378 0.7160  4 N 2.81-3.03
K 0.1345 0.5992 0.6006  6 N 2.78-3.07
K 0.1357 0.3277 0.6651  3 N 2.78-2.82
K 0.2267 0.7522 0.2196  4 N 2.70-2.99
K 0.2595 0.2372 0.1110  3 N 2.68-2.81
K 0.2772 0.4769 0.3059  4 N 2.77-2.96
K 0.2828 0.4172 0.4937  4 N 2.72-3.03
K 0.3836 0.6046 0.9692  3 N 2.82-2.96
K 0.3847 0.3648 0.8482  4 N 2.79-2.98
K 0.3948 0.1182 0.6577  3 N 2.59-2.73
K 0.3994 0.0550 0.2218  4 N 2.83-3.10
K 0.4779 0.8766 0.0629  5 N 2.76-3.06
K 0.5000 0.0000 0.5000  6 N 2.98-3.23
Re 0.0112 0.7182 0.0501  4 N 1.81-1.91
Re 0.1299 0.0916 0.8144  4 N 1.79-1.95
Re 0.1363 0.9515 0.3621  4 N 1.77-1.94
Re 0.2514 0.8446 0.8937  4 N 1.78-1.91
Re 0.3173 0.7050 0.4423  4 N 1.81-1.93
Re 0.3401 0.6220 0.7733  4 N 1.80-1.99
Re 0.4248 0.2281 0.3760  4 N 1.79-1.92
N 0.0490 0.9217 0.2654  2 Re 1.89-1.93
N 0.0535 0.1746 0.8890  2 Re 1.90-1.92
N 0.0656 0.0245 0.5916  1 Re 1.77
N 0.0894 0.6085 0.4478  1 Re 1.82
N 0.1031 0.7891 0.9691  2 Re 1.91
N 0.1082 0.9473 0.8528  2 Re 1.89-1.95
N 0.1361 0.5141 0.7488  1 Re 1.81
N 0.2024 0.3858 0.9716  1 Re 1.81
N 0.2042 0.2868 0.3778  1 Re 1.79
N 0.2202 0.6651 0.0908  1 Re 1.81
N 0.2495 0.8302 0.3988  2 Re 1.90-1.94
N 0.2558 0.7307 0.8295  2 Re 1.88-1.92
N 0.3442 0.0739 0.3643  2 Re 1.91-1.92
N 0.3789 0.1398 0.7944  1 Re 1.79
N 0.4201 0.7165 0.6950  2 Re 1.87-1.99
N 0.4273 0.7456 0.5358  2 Re 1.91-1.93
N 0.4484 0.4254 0.1845  1 Re 1.80
N 0.4978 0.6512 0.3947  1 Re 1.81
N 0.4995 0.0982 0.0780  1 Re 1.78

***

Record 8
Entry from Alexandria: crystalline K2ReSbN at its relaxed geometry (PBE-GGA).

The total moment comes out at 2.2 μB per formula unit. As for the uncorrected formation energy: 10.0 kcal/mol of atoms. For the density of states at the Fermi level, the calculation gives 0.90 states/eV per atom.

abc: 6.1185 6.1185 3.7798
angles: 90.00 90.00 90.00
Closest atoms and distances in Å follow each position.
Space group P4/mmm (No. 123)
Asymmetric unit:
K 0.0000 0.5000 0.0000  2 N 3.06
Re 0.0000 0.0000 0.5000  2 N 1.89
Sb 0.5000 0.5000 0.5000  8 K 3.60, 2 Sb 3.78
N 0.0000 0.0000 0.0000  2 Re 1.89